# 1
This record from the Alexandria database describes an optimized crystal structure of Be2HgOs. The functional is PBE-GGA.

## Properties
The value obtained for the total energy is -18.80 eV/cell. The density of states at the Fermi level is 0.213 states/eV per atom. Its calculated formation energy is 18 kJ/mol of formula units. The symmetry is No. 123.

a b c (Å): 3.0162 3.0162 5.7550
angles (deg): 90.00 90.00 90.00
Sites, in units of the cell vectors:
Be: 0.0000 0.0000 0.1817
Be: 0.0000 0.0000 0.8183
Hg: 0.5000 0.5000 0.5000
Os: 0.5000 0.5000 0.0000

# 2
This record from the Alexandria database describes an optimized crystal structure of Be2HgOs. The functional is PBE-GGA.

## Properties
The value obtained for the total energy is -15.97 eV/cell. The density of states at the Fermi level is 0.404 states/eV per atom. Its calculated formation energy is 290 kJ/mol of formula units. The symmetry is No. 216.

a b c (Å): 4.2825 4.2825 4.2825
angles (deg): 60.00 60.00 60.00
Sites, in units of the cell vectors:
Be: 0.0000 0.0000 0.0000
Be: 0.2500 0.2500 0.2500
Hg: 0.5000 0.5000 0.5000
Os: 0.7500 0.7500 0.7500

# 3
This record from the Alexandria database describes an optimized crystal structure of Be2HgOs. The functional is PBE-GGA.

## Properties
The value obtained for the total energy is -17.85 eV/cell. The density of states at the Fermi level is 0.076 states/eV per atom. Its calculated formation energy is 109 kJ/mol of formula units. The symmetry is No. 44.

a b c (Å): 5.4571 5.4571 5.4571
angles (deg): 145.89 143.68 50.68
Sites, in units of the cell vectors:
Be: 0.0000 0.0000 0.0000
Be: 0.6828 0.1828 0.5000
Hg: 0.2746 0.7746 0.5000
Os: 0.5199 0.5199 0.0000

# 4
This record from the Alexandria database describes an optimized crystal structure of Be2HgOs. The functional is PBE-GGA.

## Properties
The value obtained for the total energy is -17.76 eV/cell. The density of states at the Fermi level is 0.628 states/eV per atom. Its calculated formation energy is 118 kJ/mol of formula units. The symmetry is No. 99.

a b c (Å): 2.9681 2.9681 5.9649
angles (deg): 90.00 90.00 90.00
Sites, in units of the cell vectors:
Be: 0.0000 0.0000 0.0000
Be: 0.5000 0.5000 0.2009
Hg: 0.0000 0.0000 0.4758
Os: 0.5000 0.5000 0.8281

# 5
This record from the Alexandria database describes an optimized crystal structure of BeHgOs3. The functional is PBE-GGA.

## Properties
The value obtained for the total energy is -32.45 eV/cell. For the relative energy among the computed polymorphs, the calculation gives 0.000 eV/atom. The density of states at the Fermi level is 0.974 states/eV per atom. Its calculated formation energy is 508 kJ/mol of formula units. The symmetry is No. 221.

a b c (Å): 4.2079 4.2079 4.2079
angles (deg): 90.00 90.00 90.00
Sites, in units of the cell vectors:
Be: 0.0000 0.0000 0.0000
Hg: 0.5000 0.5000 0.5000
Os: 0.0000 0.0000 0.5000
Os: 0.0000 0.5000 0.0000
Os: 0.5000 0.0000 0.0000

# 6
This record from the Alexandria database describes an optimized crystal structure of Be2HgOs. The functional is PBE-GGA.

## Properties
The value obtained for the total energy is -17.44 eV/cell. The density of states at the Fermi level is 0.624 states/eV per atom. Its calculated formation energy is 149 kJ/mol of formula units. The symmetry is No. 166.

a b c (Å): 8.2296 8.2296 8.2296
angles (deg): 19.83 19.83 19.83
Sites, in units of the cell vectors:
Be: 0.2378 0.2378 0.2378
Be: 0.7622 0.7622 0.7622
Hg: 0.0000 0.0000 0.0000
Os: 0.5000 0.5000 0.5000

# 7
This record from the Alexandria database describes an optimized crystal structure of Be2HgOs. The functional is PBE-GGA.

## Properties
The value obtained for the total energy is -17.37 eV/cell. The density of states at the Fermi level is 0.287 states/eV per atom. Its calculated formation energy is 156 kJ/mol of formula units. The symmetry is No. 65.

a b c (Å): 2.7837 2.7837 7.9594
angles (deg): 90.00 90.00 115.30
Sites, in units of the cell vectors:
Be: 0.0000 0.0000 0.2167
Be: 0.0000 0.0000 0.7833
Hg: 0.5000 0.5000 0.5000
Os: 0.5000 0.5000 0.0000

# 8
This record from the Alexandria database describes an optimized crystal structure of BeHg2POs. The functional is PBE-GGA.

## Properties
The value obtained for the total energy is -16.71 eV/cell. The density of states at the Fermi level is 0.569 states/eV per atom. Its calculated formation energy is 411 kJ/mol of formula units. The symmetry is No. 123.

a b c (Å): 5.3729 5.3729 4.3765
angles (deg): 90.00 90.00 90.00
Sites, in units of the cell vectors:
Be: 0.0000 0.0000 0.0000
Hg: 0.0000 0.5000 0.5000
Hg: 0.5000 0.0000 0.5000
P: 0.5000 0.5000 0.0000
Os: 0.5000 0.5000 0.5000

# 9
This record from the Alexandria database describes an optimized crystal structure of RbBeHg2Os. The functional is PBE-GGA.

## Properties
The value obtained for the total energy is -14.38 eV/cell. The density of states at the Fermi level is 0.538 states/eV per atom. Its calculated formation energy is 207 kJ/mol of formula units. The symmetry is No. 123.

a b c (Å): 5.3828 5.3828 4.4625
angles (deg): 90.00 90.00 90.00
Sites, in units of the cell vectors:
Rb: 0.0000 0.0000 0.0000
Be: 0.5000 0.5000 0.0000
Hg: 0.0000 0.5000 0.5000
Hg: 0.5000 0.0000 0.5000
Os: 0.5000 0.5000 0.5000

# 10
This record from the Alexandria database describes an optimized crystal structure of RbBeHgOs2. The functional is PBE-GGA.

## Properties
The value obtained for the total energy is -10.43 eV/cell. The density of states at the Fermi level is 1.138 states/eV per atom. Its calculated formation energy is 1643 kJ/mol of formula units. The symmetry is No. 123.

a b c (Å): 4.8521 4.8521 4.4626
angles (deg): 90.00 90.00 90.00
Sites, in units of the cell vectors:
Rb: 0.0000 0.0000 0.0000
Be: 0.0000 0.0000 0.5000
Hg: 0.5000 0.5000 0.5000
Os: 0.0000 0.5000 0.0000
Os: 0.5000 0.0000 0.0000

# 11
This record from the Alexandria database describes an optimized crystal structure of Be2HgOsRh. The functional is PBE-GGA.

## Properties
The value obtained for the total energy is -20.32 eV/cell. The density of states at the Fermi level is 0.413 states/eV per atom. Its calculated formation energy is 581 kJ/mol of formula units. The symmetry is No. 123.

a b c (Å): 4.0598 4.0598 5.0231
angles (deg): 90.00 90.00 90.00
Sites, in units of the cell vectors:
Be: 0.0000 0.5000 0.0000
Be: 0.5000 0.0000 0.0000
Hg: 0.0000 0.0000 0.5000
Os: 0.5000 0.5000 0.5000
Rh: 0.0000 0.0000 0.0000

# 12
This record from the Alexandria database describes an optimized crystal structure of BeHgP. The functional is PBE-GGA.

## Properties
The value obtained for the total energy is -9.09 eV/cell. For the relative energy among the computed polymorphs, the calculation gives 0.000 eV/atom. The density of states at the Fermi level is 0.427 states/eV per atom. Its calculated formation energy is 34 kJ/mol of formula units. The symmetry is No. 187.

a b c (Å): 3.6768 3.6768 4.5921
angles (deg): 90.00 90.00 120.00
Sites, in units of the cell vectors:
Be: 0.0000 0.0000 0.0000
Hg: 0.6667 0.3333 0.5000
P: 0.3333 0.6667 0.0000